{
  "formula": "FeBAsBr2",
  "functional": "SCAN",
  "state": "PBEsol geometry",
  "spacegroup": "P4/mmm",
  "magmom_total_mub_per_fu": 2.76,
  "n_ef_per_ev_fu": 3.22,
  "e_above_lowest_polymorph_ev_per_atom": 0.092,
  "volume_a3_per_cell": 107.3,
  "lattice_angstrom": [[4.4010, 0.0000, 0.0000], [0.0000, 4.9386, 0.0000], [0.0000, 0.0000, 4.9386]],
  "species": ["Fe", "Br", "B", "As", "Br"],
  "fractional_positions": [[0.0000, 0.0000, 0.0000], [0.0000, 0.5000, 0.0000], [0.5000, 0.5000, 0.5000], [0.5000, 0.0000, 0.0000], [0.0000, 0.0000, 0.5000]]
}

{
  "formula": "BMoAs2Br",
  "functional": "SCAN",
  "state": "PBEsol geometry",
  "spacegroup": "P4/mmm",
  "magmom_total_mub_per_fu": 0.82,
  "n_ef_per_ev_fu": 2.67,
  "volume_a3_per_cell": 118.7,
  "energy_ev_per_atom": -19.18,
  "lattice_angstrom": [[-0.8379, 3.5159, -3.0812], [-4.4951, 0.2539, 1.5121], [1.4231, 3.5276, 3.6384]],
  "species": ["As", "As", "Mo", "B", "Br"],
  "fractional_positions": [[0.5000, 0.0000, 0.0000], [0.0000, 0.5000, 0.0000], [0.0000, 0.0000, 0.0000], [0.5000, 0.5000, 0.5000], [0.0000, 0.0000, 0.5000]]
}

{
  "formula": "BAs2PBr",
  "functional": "SCAN",
  "state": "PBEsol geometry",
  "spacegroup": "P4/mmm",
  "magmom_total_mub_per_fu": 0.00,
  "n_ef_per_ev_fu": 4.16,
  "e_above_lowest_polymorph_ev_per_atom": 0.427,
  "volume_a3_per_cell": 111.4,
  "lattice_angstrom": [[-4.5245, 0.6741, 1.1348], [0.1506, -3.7619, 2.8353], [1.3949, 2.9340, 3.8187]],
  "species": ["Br", "As", "P", "As", "B"],
  "fractional_positions": [[0.0000, 0.0000, 0.5000], [0.5000, 0.0000, 0.0000], [0.0000, 0.0000, 0.0000], [0.0000, 0.5000, 0.0000], [0.5000, 0.5000, 0.5000]]
}

{
  "formula": "BAs2PBr",
  "functional": "SCAN",
  "state": "PBEsol geometry",
  "spacegroup": "P4/mmm",
  "magmom_total_mub_per_fu": 0.00,
  "n_ef_per_ev_fu": 2.98,
  "e_above_lowest_polymorph_ev_per_atom": 0.000,
  "volume_a3_per_cell": 85.5,
  "lattice_angstrom": [[4.3030, 0.0000, 0.0000], [0.0000, 4.4574, 0.0000], [0.0000, 0.0000, 4.4574]],
  "species": ["B", "As", "P", "As", "Br"],
  "fractional_positions": [[0.0000, 0.0000, 0.0000], [0.0000, 0.0000, 0.5000], [0.5000, 0.5000, 0.5000], [0.0000, 0.5000, 0.0000], [0.5000, 0.0000, 0.0000]]
}

{
  "formula": "BAsPbBr2",
  "functional": "SCAN",
  "state": "PBEsol geometry",
  "spacegroup": "P4/mmm",
  "magmom_total_mub_per_fu": 0.00,
  "n_ef_per_ev_fu": 2.66,
  "volume_a3_per_cell": 105.0,
  "energy_ev_per_atom": -27.96,
  "lattice_angstrom": [[4.5468, 0.0000, 0.0000], [0.0000, 4.8047, 0.0000], [0.0000, 0.0000, 4.8047]],
  "species": ["B", "Br", "Br", "As", "Pb"],
  "fractional_positions": [[0.0000, 0.0000, 0.0000], [0.0000, 0.0000, 0.5000], [0.0000, 0.5000, 0.0000], [0.5000, 0.0000, 0.0000], [0.5000, 0.5000, 0.5000]]
}

{
  "formula": "BAs2PtBr",
  "functional": "SCAN",
  "state": "PBEsol geometry",
  "spacegroup": "P4/mmm",
  "magmom_total_mub_per_fu": 0.83,
  "n_ef_per_ev_fu": 3.25,
  "volume_a3_per_cell": 120.5,
  "energy_ev_per_atom": -26.17,
  "lattice_angstrom": [[-1.9672, 0.9060, -4.2446], [-2.9595, -3.6888, 0.5843], [-3.5357, 3.2046, 2.3227]],
  "species": ["As", "As", "B", "Pt", "Br"],
  "fractional_positions": [[0.0000, 0.5000, 0.0000], [0.5000, 0.0000, 0.0000], [0.5000, 0.5000, 0.5000], [0.0000, 0.0000, 0.0000], [0.0000, 0.0000, 0.5000]]
}

| no. | density (g/cm³) |
| --- | --- |
| 1 | 4.66 |
| 2 | 4.71 |
| 3 | 4.05 |
| 4 | 5.27 |
| 5 | 7.16 |
| 6 | 6.00 |